Record 1
The following is a DFT calculation (GGA-PBE) of a geometry-optimized Ta5Si3 structure.

```
data_Ta5Si3
_chemical_formula_sum 'Ta10 Si6'
_cell_length_a 5.125
_cell_length_b 7.523
_cell_length_c 7.523
_cell_angle_alpha 96.66
_cell_angle_beta 70.08
_cell_angle_gamma 109.92
_space_group_name_H-M_alt 'P 1'
_space_group_IT_number 1
loop_
_space_group_symop_operation_xyz
'x,y,z'
loop_
_atom_site_label
_atom_site_type_symbol
_atom_site_fract_x
_atom_site_fract_y
_atom_site_fract_z
_atom_site_occupancy
Si1 Si 0.250 0.000 0.000 1
Si2 Si 0.750 0.000 0.000 1
Si3 Si 0.166 0.500 0.169 1
Si4 Si 0.666 0.831 0.500 1
Si5 Si 0.334 0.169 0.500 1
Si6 Si 0.834 0.500 0.831 1
Ta1 Ta 0.780 0.705 0.145 1
Ta2 Ta 0.575 0.295 0.145 1
Ta3 Ta 0.925 0.145 0.295 1
Ta4 Ta 0.280 0.855 0.295 1
Ta5 Ta 0.250 0.500 0.500 1
Ta6 Ta 0.750 0.500 0.500 1
Ta7 Ta 0.720 0.145 0.705 1
Ta8 Ta 0.075 0.855 0.705 1
Ta9 Ta 0.425 0.705 0.855 1
Ta10 Ta 0.220 0.295 0.855 1
```

Values from the calculation:
Electronic total energy: -10.013 eV per atom
Space-group type: I4/mcm
Mass density: 12.81 g/cm³


Record 2
The following is a DFT calculation (GGA-PBE) of a geometry-optimized Ta2Si structure.

```
data_Ta2Si
_chemical_formula_sum 'Ta4 Si2'
_cell_length_a 5.396
_cell_length_b 5.396
_cell_length_c 5.396
_cell_angle_alpha 60.00
_cell_angle_beta 60.00
_cell_angle_gamma 60.00
_space_group_name_H-M_alt 'P 1'
_space_group_IT_number 1
loop_
_space_group_symop_operation_xyz
'x,y,z'
loop_
_atom_site_label
_atom_site_type_symbol
_atom_site_fract_x
_atom_site_fract_y
_atom_site_fract_z
_atom_site_occupancy
Si1 Si 0.000 0.000 0.000 1
Si2 Si 0.250 0.250 0.250 1
Ta1 Ta 0.625 0.625 0.125 1
Ta2 Ta 0.625 0.125 0.625 1
Ta3 Ta 0.125 0.625 0.625 1
Ta4 Ta 0.625 0.625 0.625 1
```

Values from the calculation:
Electronic total energy: -9.118 eV per atom
Space-group type: Fd-3m
Mass density: 11.66 g/cm³


Record 3
The following is a DFT calculation (GGA-PBE) of a geometry-optimized Ta2Si3 structure.

```
data_Ta2Si3
_chemical_formula_sum 'Ta4 Si6'
_cell_length_a 6.652
_cell_length_b 5.343
_cell_length_c 7.685
_cell_angle_alpha 58.13
_cell_angle_beta 43.01
_cell_angle_gamma 78.86
_space_group_name_H-M_alt 'P 1'
_space_group_IT_number 1
loop_
_space_group_symop_operation_xyz
'x,y,z'
loop_
_atom_site_label
_atom_site_type_symbol
_atom_site_fract_x
_atom_site_fract_y
_atom_site_fract_z
_atom_site_occupancy
Si1 Si 0.883 0.883 0.117 1
Si2 Si 0.133 0.133 0.367 1
Si3 Si 0.329 0.676 0.447 1
Si4 Si 0.676 0.329 0.549 1
Si5 Si 0.701 0.803 0.574 1
Si6 Si 0.803 0.701 0.921 1
Ta1 Ta 0.267 0.720 0.130 1
Ta2 Ta 0.368 0.120 0.530 1
Ta3 Ta 0.720 0.267 0.882 1
Ta4 Ta 0.120 0.368 0.983 1
```

Values from the calculation:
Electronic total energy: -8.202 eV per atom
Space-group type: Fdd2
Mass density: 9.93 g/cm³


Record 4
The following is a DFT calculation (GGA-PBE) of a geometry-optimized Ta3Si structure.

```
data_Ta3Si
_chemical_formula_sum 'Ta24 Si8'
_cell_length_a 10.217
_cell_length_b 10.217
_cell_length_c 5.213
_cell_angle_alpha 90.00
_cell_angle_beta 90.00
_cell_angle_gamma 90.00
_space_group_name_H-M_alt 'P 1'
_space_group_IT_number 1
loop_
_space_group_symop_operation_xyz
'x,y,z'
loop_
_atom_site_label
_atom_site_type_symbol
_atom_site_fract_x
_atom_site_fract_y
_atom_site_fract_z
_atom_site_occupancy
Si1 Si 0.545 0.720 0.032 1
Si2 Si 0.955 0.780 0.032 1
Si3 Si 0.780 0.545 0.468 1
Si4 Si 0.720 0.955 0.468 1
Si5 Si 0.280 0.045 0.532 1
Si6 Si 0.220 0.455 0.532 1
Si7 Si 0.045 0.220 0.968 1
Si8 Si 0.455 0.280 0.968 1
Ta1 Ta 0.268 0.104 0.026 1
Ta2 Ta 0.232 0.396 0.026 1
Ta3 Ta 0.650 0.164 0.218 1
Ta4 Ta 0.850 0.336 0.218 1
Ta5 Ta 0.937 0.037 0.235 1
Ta6 Ta 0.563 0.463 0.235 1
Ta7 Ta 0.037 0.563 0.265 1
Ta8 Ta 0.463 0.937 0.265 1
Ta9 Ta 0.336 0.650 0.282 1
Ta10 Ta 0.164 0.850 0.282 1
Ta11 Ta 0.104 0.232 0.474 1
Ta12 Ta 0.396 0.268 0.474 1
Ta13 Ta 0.604 0.732 0.526 1
Ta14 Ta 0.896 0.768 0.526 1
Ta15 Ta 0.836 0.150 0.718 1
Ta16 Ta 0.664 0.350 0.718 1
Ta17 Ta 0.537 0.063 0.735 1
Ta18 Ta 0.963 0.437 0.735 1
Ta19 Ta 0.437 0.537 0.765 1
Ta20 Ta 0.063 0.963 0.765 1
Ta21 Ta 0.150 0.664 0.782 1
Ta22 Ta 0.350 0.836 0.782 1
Ta23 Ta 0.768 0.604 0.974 1
Ta24 Ta 0.732 0.896 0.974 1
```

Values from the calculation:
Electronic total energy: -10.687 eV per atom
Space-group type: P4_2/n
Mass density: 13.94 g/cm³